Ca2CuP | PBE-GGA | relaxed

Calculated values
Space-group type   Amm2

a = 4.0855 Å, b = 4.1037 Å, c = 10.7937 Å
α = 90.00°, β = 90.00°, γ = 90.00°
With the nearest neighbours (Å) after each atom.
Atoms (fractional coordinates):
Ca 0.0000 0.0000 0.0000  3 Cu 2.96-3.26, 4 P 3.00
Ca 0.0000 0.5000 0.5000  3 Cu 2.96-3.26, 4 P 3.00
Ca 0.5000 0.0000 0.2820  4 Cu 3.03, 3 P 3.06-3.13
Ca 0.5000 0.5000 0.7820  4 Cu 3.03, 3 P 3.06-3.13
Cu 0.0000 0.0000 0.6980  2 P 2.45
Cu 0.0000 0.5000 0.1980  2 P 2.45
P 0.5000 0.0000 0.5722  2 Cu 2.45
P 0.5000 0.5000 0.0722  2 Cu 2.45


CaCu2P | PBE-GGA | relaxed

Calculated values
Space-group type   R3m

a = 4.0484 Å, b = 4.0484 Å, c = 14.9686 Å
α = 90.00°, β = 90.00°, γ = 120.00°
With the nearest neighbours (Å) after each atom.
Atoms (fractional coordinates):
Ca 0.0000 0.0000 0.0000  7 Cu 3.02-3.28, 4 P 3.04
Ca 0.3333 0.6667 0.6667  7 Cu 3.02-3.28, 4 P 3.04
Ca 0.6667 0.3333 0.3333  7 Cu 3.02-3.28, 4 P 3.04
Cu 0.0000 0.0000 0.2019  3 Cu 2.45, 3 P 2.57
Cu 0.0000 0.0000 0.4867  3 P 2.36, 3 Cu 2.45
Cu 0.3333 0.6667 0.1533  3 P 2.36, 3 Cu 2.45
Cu 0.3333 0.6667 0.8686  3 Cu 2.45, 3 P 2.57
Cu 0.6667 0.3333 0.5353  3 Cu 2.45, 3 P 2.57
Cu 0.6667 0.3333 0.8200  3 P 2.36, 3 Cu 2.45
P 0.0000 0.0000 0.7968  6 Cu 2.36-2.57
P 0.3333 0.6667 0.4634  6 Cu 2.36-2.57
P 0.6667 0.3333 0.1301  6 Cu 2.36-2.57


CaCu2P | PBE-GGA | relaxed

Calculated values
Space-group type   Immm

a = 3.6147 Å, b = 4.5661 Å, c = 8.3702 Å
α = 90.00°, β = 90.00°, γ = 90.00°
With the nearest neighbours (Å) after each atom.
Atoms (fractional coordinates):
Ca 0.0000 0.0000 0.0000  8 Cu 2.86-3.06, 4 P 2.91
Ca 0.5000 0.5000 0.5000  8 Cu 2.86-3.06, 4 P 2.91
Cu 0.0000 0.5000 0.2056  2 P 2.50
Cu 0.0000 0.5000 0.7944  2 P 2.50
Cu 0.5000 0.0000 0.2944  2 P 2.50
Cu 0.5000 0.0000 0.7056  2 P 2.50
P 0.0000 0.0000 0.5000  4 Cu 2.50
P 0.5000 0.5000 0.0000  4 Cu 2.50


CaCuP | PBE-GGA | relaxed

Calculated values
Space-group type   Cm

a = 10.0997 Å, b = 4.2063 Å, c = 6.1322 Å
α = 90.00°, β = 96.22°, γ = 90.00°
With the nearest neighbours (Å) after each atom.
Atoms (fractional coordinates):
Ca 0.0000 0.0000 0.0000  5 P 2.90-3.20, 1 Cu 2.99
Ca 0.2392 0.0000 0.6034  5 Cu 2.87-3.06, 5 P 2.89-3.08
Ca 0.5000 0.5000 0.0000  5 P 2.90-3.20, 1 Cu 2.99
Ca 0.7392 0.5000 0.6034  5 Cu 2.87-3.06, 5 P 2.89-3.08
Cu 0.0230 0.5000 0.5949  3 P 2.33-2.34
Cu 0.2601 0.5000 0.2455  2 P 2.16-2.22
Cu 0.5230 0.0000 0.5949  3 P 2.33-2.34
Cu 0.7601 0.0000 0.2455  2 P 2.16-2.22
P 0.1826 0.5000 0.9024  2 Cu 2.16-2.34
P 0.4422 0.5000 0.4845  3 Cu 2.22-2.33
P 0.6826 0.0000 0.9024  2 Cu 2.16-2.34
P 0.9422 0.0000 0.4845  3 Cu 2.22-2.33


Ca2Cu5P4 | PBE-GGA | relaxed

Calculated values
Space-group type   Fmmm

a = 8.4767 Å, b = 7.2669 Å, c = 5.7559 Å
α = 80.31°, β = 57.68°, γ = 42.02°
With the nearest neighbours (Å) after each atom.
Atoms (fractional coordinates):
Ca 0.1494 0.1494 0.8506  6 P 3.06-3.32, 6 Cu 3.18-3.34
Ca 0.8506 0.8506 0.1494  6 P 3.06-3.32, 6 Cu 3.18-3.34
Cu 0.0000 0.0000 0.5000  4 P 2.46, 2 Cu 2.65
Cu 0.2500 0.2500 0.2500  4 P 2.33
Cu 0.5000 0.5000 0.0000  4 P 2.46, 2 Cu 2.65
Cu 0.5000 0.5000 0.5000  4 P 2.33
Cu 0.7500 0.7500 0.7500  4 P 2.33
P 0.2219 0.5151 0.4849  5 Cu 2.33-2.46
P 0.4849 0.7781 0.2219  5 Cu 2.33-2.46
P 0.5151 0.2219 0.7781  5 Cu 2.33-2.46
P 0.7781 0.4849 0.5151  5 Cu 2.33-2.46


Ca2CuP2 | PBE-GGA | relaxed

Calculated values
Space-group type   C2/m
Polymorph energy (0 for the lowest one)   0.000 eV/atom

a = 5.7344 Å, b = 5.7344 Å, c = 10.1154 Å
α = 109.23°, β = 109.23°, γ = 41.01°
With the nearest neighbours (Å) after each atom.
Atoms (fractional coordinates):
Ca 0.0915 0.0915 0.4088  6 P 2.91-3.24, 2 Cu 3.13, 1 Ca 3.13
Ca 0.3009 0.3009 0.8517  7 P 2.93-3.17, 4 Cu 3.06-3.09
Ca 0.6991 0.6991 0.1483  7 P 2.93-3.17, 4 Cu 3.06-3.09
Ca 0.9085 0.9085 0.5912  6 P 2.91-3.24, 2 Cu 3.13, 1 Ca 3.13
Cu 0.4248 0.4248 0.1772  3 P 2.28-2.29
Cu 0.5752 0.5752 0.8228  3 P 2.28-2.29
P 0.0432 0.0432 0.9133  1 P 2.25, 2 Cu 2.28
P 0.3419 0.3419 0.3574  1 Cu 2.29
P 0.6581 0.6581 0.6426  1 Cu 2.29
P 0.9568 0.9568 0.0867  1 P 2.25, 2 Cu 2.28


CaCu2P3 | PBE-GGA | relaxed

Calculated values
Space-group type   Pmmn

a = 4.2058 Å, b = 13.0713 Å, c = 4.0213 Å
α = 90.00°, β = 90.00°, γ = 90.00°
With the nearest neighbours (Å) after each atom.
Atoms (fractional coordinates):
Ca 0.2500 0.2500 0.0162  6 P 2.89-3.21
Ca 0.7500 0.7500 0.9838  6 P 2.89-3.21
Cu 0.2500 0.5856 0.6501  5 P 2.26-2.47
Cu 0.2500 0.9144 0.6501  5 P 2.26-2.47
Cu 0.7500 0.0856 0.3499  5 P 2.26-2.47
Cu 0.7500 0.4144 0.3499  5 P 2.26-2.47
P 0.2500 0.0082 0.1496  4 Cu 2.35-2.47, 2 P 2.43
P 0.2500 0.4918 0.1496  4 Cu 2.35-2.47, 2 P 2.43
P 0.2500 0.7500 0.4784  2 Cu 2.26
P 0.7500 0.2500 0.5216  2 Cu 2.26
P 0.7500 0.5082 0.8504  4 Cu 2.35-2.47, 2 P 2.43
P 0.7500 0.9918 0.8504  4 Cu 2.35-2.47, 2 P 2.43


CaCuP5 | PBE-GGA | relaxed

Calculated values
Space-group type   P1

a = 4.3969 Å, b = 6.7286 Å, c = 9.7798 Å
α = 88.34°, β = 79.80°, γ = 76.56°
With the nearest neighbours (Å) after each atom.
Atoms (fractional coordinates):
Ca 0.0000 0.0000 0.0000  6 P 2.80-3.12
Ca 0.2739 0.4820 0.5371  5 P 2.77-3.02
Cu 0.4187 0.9994 0.4334  5 P 2.37-2.53
Cu 0.5793 0.0422 0.7609  5 P 2.34-2.50
P 0.0800 0.1204 0.6599  1 P 2.20, 1 Cu 2.42
P 0.2060 0.2319 0.2653  2 P 2.15-2.18, 1 Cu 2.40
P 0.2514 0.6060 0.8157  3 P 2.17-2.39
P 0.3186 0.3105 0.9161  2 P 2.17-2.21, 1 Cu 2.34
P 0.4725 0.6853 0.0955  3 P 2.20-2.25
P 0.5239 0.3480 0.1017  3 P 2.18-2.23
P 0.6853 0.7168 0.8719  3 P 2.25-2.39, 1 Cu 2.40
P 0.7214 0.7686 0.2539  2 P 2.15-2.20, 1 Cu 2.37
P 0.8403 0.4843 0.3598  2 P 2.15
P 0.8938 0.9188 0.5395  1 P 2.20, 2 Cu 2.41-2.44


| no. | energy relative to the elements (eV/f.u.) |
| --- | --- |
| 1 | -2.69 |
| 2 | -1.43 |
| 3 | -0.41 |
| 4 | -1.93 |
| 5 | -3.39 |
| 6 | -4.43 |
| 7 | -1.46 |
| 8 | -1.42 |